*P*
First-principles (meta-GGA SCAN) data for Zr3CrPb at its PBEsol-relaxed geometry, as listed in Alexandria via LeMat-Bulk.

The total magnetization comes out at 0.005 μB per cell. Its density of states at the Fermi level is 7.58 states/eV/f.u.

The structure belongs to space group Pm-3m (No. 221); the cell edges are 4.792, 4.792 and 4.792 Å and the angles 90.00°, 90.00° and 90.00°. Symmetry generates all atoms from Zr at (0.000, 0.000, 0.500), Cr at (0.000, 0.000, 0.000) and Pb at (0.500, 0.500, 0.500).

***

*Q*
First-principles (meta-GGA SCAN) data for Zr3CrPb at its PBEsol-relaxed geometry, as listed in Alexandria via LeMat-Bulk.

The total magnetization comes out at 4.115 μB per cell. Its density of states at the Fermi level is 6.80 states/eV/f.u.

The structure belongs to space group Pm-3m (No. 221); the cell edges are 5.296, 5.296 and 5.296 Å and the angles 90.00°, 90.00° and 90.00°. Symmetry generates all atoms from Zr at (0.000, 0.000, 0.500), Cr at (0.500, 0.500, 0.500) and Pb at (0.000, 0.000, 0.000).

***

Short version: *P* is the most stable of them.